# Pr2Ho2Er3

A relaxed structure of Pr2Ho2Er3 (PBE-GGA, Alexandria via LeMat-Bulk).

* crystal system: monoclinic
* uncorrected energy: -0.33072 Ry per atom
* ΔE_f: 129.3 meV/atom
* energy relative to the lowest polymorph listed for this composition: 0.00 eV/f.u.

Unit cell a=8.9507 b=8.9507 c=8.5347 alpha=118.32 beta=118.32 gamma=22.60
Fractional positions:
1 Pr 0.0678 0.0678 0.2216
2 Pr 0.9322 0.9322 0.7784
3 Ho 0.3486 0.3486 0.0343
4 Ho 0.6514 0.6514 0.9657
5 Er 0.2885 0.2885 0.3759
6 Er 0.5000 0.5000 0.5000
7 Er 0.7115 0.7115 0.6241



# Ho5Cd2In

A relaxed structure of Ho5Cd2In (PBE-GGA, Alexandria via LeMat-Bulk).

* crystal system: tetragonal
* uncorrected energy: -0.26989 Ry per atom
* ΔE_f: -239.9 meV/atom

Unit cell a=8.7762 b=8.7762 c=8.7762 alpha=123.90 beta=123.90 gamma=83.37
Fractional positions:
1 Ho 0.0000 0.0000 0.0000
2 Ho 0.0008 0.5008 0.8088
3 Ho 0.1920 0.0008 0.5000
4 Ho 0.3080 0.8080 0.8088
5 Ho 0.4992 0.3080 0.5000
6 Ho 0.5000 0.5000 0.0000
7 Ho 0.5008 0.6920 0.5000
8 Ho 0.6920 0.1920 0.1911
9 Ho 0.8080 0.9992 0.5000
10 Ho 0.9992 0.4992 0.1911
11 Cd 0.1373 0.3627 0.5000
12 Cd 0.3627 0.8627 0.2254
13 Cd 0.6373 0.1373 0.7746
14 Cd 0.8627 0.6373 0.5000
15 In 0.2500 0.2500 0.0000
16 In 0.7500 0.7500 0.0000



# SrTaAlPd2

A relaxed structure of SrTaAlPd2 (PBE-GGA, Alexandria via LeMat-Bulk).

* crystal system: tetragonal
* uncorrected energy: -0.34274 Ry per atom
* ΔE_f: 869.3 meV/atom

Unit cell a=4.6410 b=4.6410 c=5.3682 alpha=90.00 beta=90.00 gamma=90.00
Fractional positions:
1 Sr 0.0000 0.0000 0.0000
2 Ta 0.5000 0.5000 0.0000
3 Al 0.0000 0.0000 0.5000
4 Pd 0.0000 0.5000 0.5000
5 Pd 0.5000 0.0000 0.5000



# LiAc3Rh2

A relaxed structure of LiAc3Rh2 (PBE-GGA, Alexandria via LeMat-Bulk).

* crystal system: orthorhombic
* uncorrected energy: -0.38765 Ry per atom
* ΔE_f: -450.5 meV/atom

Unit cell a=8.5849 b=8.5849 c=8.5849 alpha=131.48 beta=74.95 gamma=126.68
Fractional positions:
1 Li 0.0000 0.0000 0.0000
2 Li 0.5000 0.5000 0.0000
3 Ac 0.0377 0.2500 0.7877
4 Ac 0.2500 0.7500 0.5000
5 Ac 0.4623 0.2500 0.2123
6 Ac 0.5377 0.7500 0.7877
7 Ac 0.7500 0.2500 0.5000
8 Ac 0.9623 0.7500 0.2123
9 Rh 0.1394 0.7090 0.8483
10 Rh 0.3606 0.2090 0.5696
11 Rh 0.6394 0.7910 0.4304
12 Rh 0.8606 0.2910 0.1517



# Pr3DyFe

A relaxed structure of Pr3DyFe (PBE-GGA, Alexandria via LeMat-Bulk).

* crystal system: cubic
* uncorrected energy: -0.38580 Ry per atom
* ΔE_f: 231.6 meV/atom

Unit cell a=5.4245 b=5.4245 c=5.4245 alpha=90.00 beta=90.00 gamma=90.00
Fractional positions:
1 Pr 0.0000 0.0000 0.5000
2 Pr 0.0000 0.5000 0.0000
3 Pr 0.5000 0.0000 0.0000
4 Dy 0.5000 0.5000 0.5000
5 Fe 0.0000 0.0000 0.0000



# TbMg6Sc

A relaxed structure of TbMg6Sc (PBE-GGA, Alexandria via LeMat-Bulk).

* crystal system: tetragonal
* uncorrected energy: -0.19237 Ry per atom
* ΔE_f: -51.2 meV/atom

Unit cell a=4.6077 b=4.6077 c=9.1379 alpha=90.00 beta=90.00 gamma=90.00
Fractional positions:
1 Tb 0.0000 0.0000 0.0000
2 Mg 0.0000 0.5000 0.2575
3 Mg 0.0000 0.5000 0.7425
4 Mg 0.5000 0.0000 0.2575
5 Mg 0.5000 0.0000 0.7425
6 Mg 0.5000 0.5000 0.0000
7 Mg 0.5000 0.5000 0.5000
8 Sc 0.0000 0.0000 0.5000



# MgCoW2

A relaxed structure of MgCoW2 (PBE-GGA, Alexandria via LeMat-Bulk).

* crystal system: monoclinic
* uncorrected energy: -0.61085 Ry per atom
* ΔE_f: 340.6 meV/atom

Unit cell a=2.6959 b=4.3040 c=5.2397 alpha=90.00 beta=99.21 gamma=90.00
Fractional positions:
1 Mg 0.0000 0.0000 0.0000
2 Co 0.2250 0.5000 0.7638
3 W 0.4426 0.0000 0.5163
4 W 0.6596 0.5000 0.2599



# TmHfZr

A relaxed structure of TmHfZr (PBE-GGA, Alexandria via LeMat-Bulk).

* crystal system: orthorhombic
* uncorrected energy: -0.55503 Ry per atom
* ΔE_f: 106.2 meV/atom
* energy relative to the lowest polymorph listed for this composition: 0.01 eV/f.u.

Unit cell a=7.7162 b=7.7162 c=4.5049 alpha=90.00 beta=90.00 gamma=146.04
Fractional positions:
1 Tm 0.2498 0.7502 0.7500
2 Tm 0.7502 0.2498 0.2500
3 Hf 0.0728 0.9272 0.2500
4 Hf 0.9272 0.0728 0.7500
5 Zr 0.4263 0.5737 0.2500
6 Zr 0.5737 0.4263 0.7500



# YW2Au

A relaxed structure of YW2Au (PBE-GGA, Alexandria via LeMat-Bulk).

* crystal system: orthorhombic
* uncorrected energy: -0.62778 Ry per atom
* ΔE_f: 370.6 meV/atom
* energy relative to the lowest polymorph listed for this composition: 0.93 eV/f.u.

Unit cell a=5.1891 b=5.1891 c=5.1891 alpha=135.46 beta=125.81 gamma=72.67
Fractional positions:
1 Y 0.0000 0.0000 0.0000
2 W 0.5475 0.5475 0.0000
3 W 0.7439 0.2439 0.5000
4 Au 0.2687 0.7687 0.5000



# Na2ScUTe4

A relaxed structure of Na2ScUTe4 (PBE-GGA, Alexandria via LeMat-Bulk).

* E_form (uncorrected): -0.964 eV per atom
* crystal system: monoclinic
* uncorrected energy: -0.37246 Ry per atom

Unit cell a=7.5030 b=4.3340 c=7.9944 alpha=90.00 beta=108.22 gamma=90.00
Fractional positions:
1 Na 0.0000 0.0000 0.0000
2 Na 0.5000 0.5000 0.0000
3 Sc 0.0000 0.5000 0.5000
4 U 0.5000 0.0000 0.5000
5 Te 0.2301 0.0000 0.7247
6 Te 0.2438 0.5000 0.2672
7 Te 0.7562 0.5000 0.7328
8 Te 0.7699 0.0000 0.2753



# Nd2CdSi3Pt12

A relaxed structure of Nd2CdSi3Pt12 (PBE-GGA, Alexandria via LeMat-Bulk).

* E_form (uncorrected): -0.447 eV per atom
* crystal system: trigonal
* uncorrected energy: -0.43798 Ry per atom

Unit cell a=7.6642 b=7.6642 c=7.6642 alpha=66.03 beta=66.03 gamma=66.03
Fractional positions:
1 Nd 0.1058 0.1058 0.1058
2 Nd 0.8942 0.8942 0.8942
3 Cd 0.5000 0.5000 0.5000
4 Si 0.0000 0.5000 0.5000
5 Si 0.5000 0.0000 0.5000
6 Si 0.5000 0.5000 0.0000
7 Pt 0.1122 0.6387 0.6387
8 Pt 0.1487 0.1487 0.6002
9 Pt 0.1487 0.6002 0.1487
10 Pt 0.3613 0.3613 0.8878
11 Pt 0.3613 0.8878 0.3613
12 Pt 0.3998 0.8513 0.8513
13 Pt 0.6002 0.1487 0.1487
14 Pt 0.6387 0.1122 0.6387
15 Pt 0.6387 0.6387 0.1122
16 Pt 0.8513 0.3998 0.8513
17 Pt 0.8513 0.8513 0.3998
18 Pt 0.8878 0.3613 0.3613



# Ac2Tb7Y2

A relaxed structure of Ac2Tb7Y2 (PBE-GGA, Alexandria via LeMat-Bulk).

* crystal system: monoclinic
* uncorrected energy: -0.34806 Ry per atom
* ΔE_f: 133.3 meV/atom

Unit cell a=10.6124 b=10.6124 c=3.6861 alpha=96.44 beta=96.44 gamma=68.74
Fractional positions:
1 Ac 0.1961 0.1961 0.1763
2 Ac 0.8039 0.8039 0.8237
3 Tb 0.0000 0.0000 0.5000
4 Tb 0.1004 0.5664 0.3149
5 Tb 0.4045 0.4045 0.7700
6 Tb 0.4336 0.8996 0.6851
7 Tb 0.5664 0.1004 0.3149
8 Tb 0.5955 0.5955 0.2300
9 Tb 0.8996 0.4336 0.6851
10 Y 0.2462 0.7538 0.0000
11 Y 0.7538 0.2462 0.0000



# LiY3Zn

A relaxed structure of LiY3Zn (PBE-GGA, Alexandria via LeMat-Bulk).

* crystal system: cubic
* uncorrected energy: -0.31168 Ry per atom
* ΔE_f: 275.3 meV/atom
* energy relative to the lowest polymorph listed for this composition: 1.93 eV/f.u.

Unit cell a=5.5067 b=5.5067 c=5.5067 alpha=90.00 beta=90.00 gamma=90.00
Fractional positions:
1 Li 0.0000 0.0000 0.0000
2 Y 0.0000 0.5000 0.5000
3 Y 0.5000 0.0000 0.5000
4 Y 0.5000 0.5000 0.0000
5 Zn 0.5000 0.5000 0.5000



# LaCe2UN4

A relaxed structure of LaCe2UN4 (PBE-GGA, Alexandria via LeMat-Bulk).

* E_form (uncorrected): -1.383 eV per atom
* crystal system: tetragonal
* uncorrected energy: -0.66562 Ry per atom

Unit cell a=6.1871 b=6.1871 c=6.1871 alpha=131.63 beta=131.63 gamma=70.81
Fractional positions:
1 La 0.0000 0.0000 0.0000
2 Ce 0.5000 0.5000 0.0000
3 Ce 0.7500 0.2500 0.5000
4 U 0.2500 0.7500 0.5000
5 N 0.0293 0.5293 0.5000
6 N 0.2582 0.2582 0.0000
7 N 0.4707 0.9707 0.5000
8 N 0.7418 0.7418 0.0000



# TbPr4Ho

A relaxed structure of TbPr4Ho (PBE-GGA, Alexandria via LeMat-Bulk).

* crystal system: orthorhombic
* uncorrected energy: -0.34540 Ry per atom
* ΔE_f: 21.6 meV/atom
* energy relative to the lowest polymorph listed for this composition: 0.00 eV/f.u.

Unit cell a=8.1684 b=8.1684 c=5.1864 alpha=90.00 beta=90.00 gamma=142.95
Fractional positions:
1 Tb 0.0000 0.0000 0.0000
2 Pr 0.1647 0.8353 0.5000
3 Pr 0.3355 0.6645 0.0000
4 Pr 0.6645 0.3355 0.0000
5 Pr 0.8353 0.1647 0.5000
6 Ho 0.5000 0.5000 0.5000



Total magnetic moment values (in μB per formula unit) by entry order: 0.0, 0.0, 2.4, 0.0, 0.0, 0.0, 0.0, 0.0, 0.0, 3.0, 0.0, 0.0, 0.6, 1.8, 0.0.